A relaxed structure of SrCrSbPd2, computed with PBE-GGA.

Its calculated volume is 129 Å³/cell. Its space-group type is No. 123. The value obtained for the formation energy without anion corrections is 0.51 eV/atom. The density of states at the Fermi level is 6.0 states/eV/f.u. Its total magnetization is 3.76 μB/cell.

Cell lengths 4.793, 5.623, 4.793 Å; angles 90.00, 90.00, 90.00 degrees
Site moments in Bohr magnetons follow the coordinates.
Fractional positions:
Sb1 0.500 0.500 0.500  -0.04
Cr1 0.000 0.000 0.000  3.32
Pd1 0.000 0.000 0.500  0.07
Pd2 0.500 0.000 0.000  0.06
Sr1 0.000 0.500 0.000  0.05